1.
Compound: La3Pm3Sc
Source: Alexandria
Functional: GGA-PBE
Structure: optimized geometry

Cell and atoms, written as POSCAR:
```
La3Pm3Sc
1.0
-2.181 5.129 -1.287
-2.382 -4.149 -12.502
-11.266 -3.925 3.449
Pm La Sc
12 12 4
direct
0.750 0.405 0.571
0.250 0.095 0.071
0.750 0.674 0.116
0.250 0.595 0.429
0.750 0.174 0.384
0.250 0.614 0.919
0.250 0.326 0.884
0.750 0.905 0.929
0.250 0.826 0.616
0.750 0.386 0.081
0.750 0.886 0.419
0.250 0.114 0.581
0.250 0.020 0.331
0.750 0.980 0.669
0.250 0.520 0.169
0.750 0.704 0.749
0.250 0.840 0.996
0.750 0.480 0.831
0.750 0.660 0.496
0.250 0.340 0.504
0.250 0.296 0.251
0.750 0.204 0.751
0.250 0.796 0.249
0.750 0.160 0.004
0.250 0.543 0.678
0.750 0.957 0.178
0.250 0.043 0.822
0.750 0.457 0.322
```

The formation energy is 186.2 meV per atom. As for the magnetic moment: 0.0 μB/f.u. The offset from the most stable computed form comes out at 136 meV per atom.

---

2.
Compound: RbPrSeO6
Source: Alexandria
Functional: GGA-PBE
Structure: optimized geometry

Cell and atoms, written as POSCAR:
```
RbPrSeO6
1.0
5.804 0.000 0.000
2.903 5.027 0.000
0.000 -0.001 6.008
O Rb Pr Se
6 1 1 1
direct
0.341 0.075 0.673
0.341 0.584 0.327
0.075 0.341 0.327
0.584 0.075 0.327
0.075 0.584 0.673
0.584 0.341 0.673
0.000 0.000 0.000
0.667 0.667 0.500
0.333 0.333 0.500
```

Its raw formation energy is -1.2748 eV per atom. As for the magnetic moment: 2.0 μB/f.u.

---

Number 1: electronic total energy -4.87 eV/atom. Number 2: electronic total energy -5.61 eV/atom.